1.
The following is a DFT calculation (PBE-GGA) of a geometry-optimized DyYAg2S4 structure.

Computed properties:
E_form (uncorrected)	-1.2825	eV per atom
E_tot	-5.44	eV per atom

Structure (CIF):
```
data_DyYAg2S4
_chemical_formula_sum 'Dy1 Y1 Ag2 S4'
_cell_length_a 6.665
_cell_length_b 4.016
_cell_length_c 6.988
_cell_angle_alpha 90.00
_cell_angle_beta 112.18
_cell_angle_gamma 90.00
_space_group_name_H-M_alt 'P 1 2/m 1'
_space_group_IT_number 10
loop_
_space_group_symop_operation_xyz
'x,y,z'
'-x,-y,-z'
'-x,y,-z'
'x,-y,z'
loop_
_atom_site_label
_atom_site_type_symbol
_atom_site_fract_x
_atom_site_fract_y
_atom_site_fract_z
_atom_site_occupancy
Dy1 Dy 0.000 0.000 0.000 1
Y1 Y 0.000 0.500 0.500 1
Ag1 Ag 0.500 0.000 0.500 1
Ag2 Ag 0.500 0.500 0.000 1
S1 S 0.240 0.000 0.754 1
S2 S 0.240 0.500 0.253 1
```


2.
The following is a DFT calculation (PBE-GGA) of a geometry-optimized DyZrAgS4 structure.

Computed properties:
E_form (uncorrected)	-1.4269	eV per atom
E_tot	-6.07	eV per atom

Structure (CIF):
```
data_DyZrAgS4
_chemical_formula_sum 'Dy4 Zr4 Ag4 S16'
_cell_length_a 7.642
_cell_length_b 7.938
_cell_length_c 11.059
_cell_angle_alpha 90.00
_cell_angle_beta 90.00
_cell_angle_gamma 90.00
_space_group_name_H-M_alt 'I m m a'
_space_group_IT_number 74
_space_group_name_Hall '-I 2b 2'
loop_
_atom_site_label
_atom_site_type_symbol
_atom_site_fract_x
_atom_site_fract_y
_atom_site_fract_z
_atom_site_occupancy
Dy1 Dy 0.000 0.000 0.000 1
Zr1 Zr 0.250 0.250 0.250 1
Ag1 Ag 0.000 0.250 0.628 1
S1 S 0.000 0.026 0.248 1
S2 S 0.242 0.250 0.018 1
```


3.
The following is a DFT calculation (PBE-GGA) of a geometry-optimized Dy8AgSb2 structure.

Computed properties:
E_form (uncorrected)	-0.3727	eV per atom
E_tot	-4.73	eV per atom

Structure (CIF):
```
data_Dy8AgSb2
_chemical_formula_sum 'Dy16 Ag2 Sb4'
_cell_length_a 19.061
_cell_length_b 4.960
_cell_length_c 6.880
_cell_angle_alpha 90.00
_cell_angle_beta 102.57
_cell_angle_gamma 90.00
_space_group_name_H-M_alt 'C 1 2/m 1'
_space_group_IT_number 12
loop_
_space_group_symop_operation_xyz
'x,y,z'
'-x,-y,-z'
'-x,y,-z'
'x,-y,z'
'x+1/2,y+1/2,z'
'-x+1/2,-y+1/2,-z'
'-x+1/2,y+1/2,-z'
'x+1/2,-y+1/2,z'
loop_
_atom_site_label
_atom_site_type_symbol
_atom_site_fract_x
_atom_site_fract_y
_atom_site_fract_z
_atom_site_occupancy
Dy1 Dy 0.017 0.000 0.270 1
Dy2 Dy 0.093 0.500 0.985 1
Dy3 Dy 0.155 0.500 0.513 1
Dy4 Dy 0.215 0.000 0.834 1
Ag1 Ag 0.000 0.500 0.500 1
Sb1 Sb 0.181 0.000 0.265 1
```


4.
The following is a DFT calculation (PBE-GGA) of a geometry-optimized DyAgSb2 structure.

Computed properties:
E_form (uncorrected)	-0.4704	eV per atom
E above lowest polymorph	140	meV/atom
E_tot	-4.39	eV per atom

Structure (CIF):
```
data_DyAgSb2
_chemical_formula_sum 'Dy1 Ag1 Sb2'
_cell_length_a 4.801
_cell_length_b 4.801
_cell_length_c 4.230
_cell_angle_alpha 90.00
_cell_angle_beta 90.00
_cell_angle_gamma 90.00
_space_group_name_H-M_alt 'P 4/m m m'
_space_group_IT_number 123
_space_group_name_Hall '-P 4 2'
loop_
_atom_site_label
_atom_site_type_symbol
_atom_site_fract_x
_atom_site_fract_y
_atom_site_fract_z
_atom_site_occupancy
Dy1 Dy 0.000 0.000 0.000 1
Ag1 Ag 0.500 0.500 0.000 1
Sb1 Sb 0.000 0.500 0.500 1
```


- Which value of E_form (uncorrected) does entry 1 give?
  -1.2825 eV per atom


- The highest E_tot belongs to which entry?
  DyAgSb2